1.
Computed, not measured: crystalline La2Pm2PrSm at its relaxed geometry at the PBE level of DFT.

Computed properties:
* symmetry: Pnnm
* calculated volume: 36.22 Å³/atom

abc: 6.7571 18.3971 3.4967
angles: 90.00 90.00 90.00
Positions (direct):
1 La 0.2217 0.1863 0.0000
2 La 0.2783 0.6863 0.5000
3 La 0.7217 0.3137 0.5000
4 La 0.7783 0.8137 0.0000
5 Pm 0.2166 0.3533 0.5000
6 Pm 0.2834 0.8533 0.0000
7 Pm 0.7166 0.1467 0.0000
8 Pm 0.7834 0.6467 0.5000
9 Pr 0.0000 0.0000 0.0000
10 Pr 0.5000 0.5000 0.5000
11 Sm 0.0000 0.5000 0.0000
12 Sm 0.5000 0.0000 0.5000

2.
Computed, not measured: crystalline La2PmPr6Sm at its relaxed geometry at the PBE level of DFT.

Computed properties:
* symmetry: C2/c
* calculated volume: 36.15 Å³/atom

abc: 8.9880 8.9880 10.2914
angles: 95.47 95.47 117.76
Positions (direct):
1 La 0.1892 0.2842 0.0408
2 La 0.2842 0.1892 0.5408
3 La 0.7158 0.8108 0.4592
4 La 0.8108 0.7158 0.9592
5 Pm 0.0115 0.9885 0.2500
6 Pm 0.9885 0.0115 0.7500
7 Pr 0.0184 0.5793 0.1886
8 Pr 0.1180 0.7393 0.5552
9 Pr 0.2607 0.8820 0.9448
10 Pr 0.2996 0.5019 0.3789
11 Pr 0.4207 0.9816 0.3114
12 Pr 0.4981 0.7004 0.1211
13 Pr 0.5019 0.2996 0.8789
14 Pr 0.5793 0.0184 0.6886
15 Pr 0.7004 0.4981 0.6211
16 Pr 0.7393 0.1180 0.0552
17 Pr 0.8820 0.2607 0.4448
18 Pr 0.9816 0.4207 0.8114
19 Sm 0.4044 0.5956 0.7500
20 Sm 0.5956 0.4044 0.2500

3.
Computed, not measured: crystalline LaPm2Pr6Sm at its relaxed geometry at the PBE level of DFT.

Computed properties:
* symmetry: C2/c
* calculated volume: 36.06 Å³/atom

abc: 9.0788 9.0788 10.0451
angles: 94.63 94.63 118.12
Positions (direct):
1 La 0.0953 0.9047 0.7500
2 La 0.9047 0.0953 0.2500
3 Pm 0.2118 0.3092 0.9567
4 Pm 0.3092 0.2118 0.4567
5 Pm 0.6908 0.7882 0.5433
6 Pm 0.7882 0.6908 0.0433
7 Pr 0.0044 0.7963 0.3788
8 Pr 0.0714 0.5209 0.1836
9 Pr 0.2037 0.9956 0.1212
10 Pr 0.2523 0.6138 0.5549
11 Pr 0.3862 0.7477 0.9451
12 Pr 0.4791 0.9286 0.3164
13 Pr 0.5209 0.0714 0.6836
14 Pr 0.6138 0.2523 0.0549
15 Pr 0.7477 0.3862 0.4451
16 Pr 0.7963 0.0044 0.8788
17 Pr 0.9286 0.4791 0.8164
18 Pr 0.9956 0.2037 0.6212
19 Sm 0.4767 0.5233 0.2500
20 Sm 0.5233 0.4767 0.7500

4.
Computed, not measured: crystalline La2Pm4PrSm2 at its relaxed geometry at the PBE level of DFT.

Computed properties:
* symmetry: C2/m
* calculated volume: 35.15 Å³/atom

abc: 9.8019 9.8019 9.8383
angles: 115.26 115.26 21.81
Positions (direct):
1 La 0.1667 0.1667 0.4990
2 La 0.8333 0.8333 0.5010
3 Pm 0.0192 0.0192 0.8354
4 Pm 0.3143 0.3143 0.1653
5 Pm 0.6857 0.6857 0.8347
6 Pm 0.9808 0.9808 0.1646
7 Pr 0.5000 0.5000 0.5000
8 Sm 0.3520 0.3520 0.8343
9 Sm 0.6480 0.6480 0.1657

5.
Computed, not measured: crystalline LaPm5PrSm2 at its relaxed geometry at the PBE level of DFT.

Computed properties:
* symmetry: P4/mbm
* calculated volume: 35.46 Å³/atom

abc: 8.1976 8.1976 9.4980
angles: 90.00 90.00 90.00
Positions (direct):
1 La 0.0000 0.5000 0.0000
2 La 0.5000 0.0000 0.0000
3 Pm 0.0000 0.0000 0.5000
4 Pm 0.2025 0.2975 0.2375
5 Pm 0.2025 0.2975 0.7625
6 Pm 0.2975 0.7975 0.2375
7 Pm 0.2975 0.7975 0.7625
8 Pm 0.5000 0.5000 0.5000
9 Pm 0.7025 0.2025 0.2375
10 Pm 0.7025 0.2025 0.7625
11 Pm 0.7975 0.7025 0.2375
12 Pm 0.7975 0.7025 0.7625
13 Pr 0.0000 0.0000 0.0000
14 Pr 0.5000 0.5000 0.0000
15 Sm 0.1278 0.6278 0.5000
16 Sm 0.3722 0.1278 0.5000
17 Sm 0.6278 0.8722 0.5000
18 Sm 0.8722 0.3722 0.5000

6.
Computed, not measured: crystalline LaPm4Pr2Sm at its relaxed geometry at the PBE level of DFT.

Computed properties:
* symmetry: P2/m
* calculated volume: 35.22 Å³/atom

abc: 6.3570 3.6873 12.2176
angles: 90.00 100.33 90.00
Positions (direct):
1 La 0.0000 0.0000 0.0000
2 Pm 0.2493 0.5000 0.2499
3 Pm 0.2512 0.0000 0.7510
4 Pm 0.7488 0.0000 0.2490
5 Pm 0.7507 0.5000 0.7501
6 Pr 0.0000 0.5000 0.5000
7 Pr 0.5000 0.0000 0.5000
8 Sm 0.5000 0.5000 0.0000

7.
Computed, not measured: crystalline La4Pm2Pr2Sm at its relaxed geometry at the PBE level of DFT.

Computed properties:
* symmetry: C2/m
* calculated volume: 35.87 Å³/atom

abc: 8.2793 8.2793 8.2662
angles: 107.56 107.56 36.94
Positions (direct):
1 La 0.0548 0.0548 0.3328
2 La 0.2772 0.2772 0.6667
3 La 0.7228 0.7228 0.3333
4 La 0.9452 0.9452 0.6672
5 Pm 0.3887 0.3887 0.3318
6 Pm 0.6113 0.6113 0.6682
7 Pr 0.1663 0.1663 0.0006
8 Pr 0.8337 0.8337 0.9994
9 Sm 0.5000 0.5000 0.0000

8.
Computed, not measured: crystalline La2Pm6PrSm3 at its relaxed geometry at the PBE level of DFT.

Computed properties:
* symmetry: C2/m
* calculated volume: 34.97 Å³/atom

abc: 6.3627 6.3627 12.1631
angles: 95.05 95.05 120.03
Positions (direct):
1 La 0.1666 0.8334 0.0000
2 La 0.8334 0.1666 0.0000
3 Pm 0.0822 0.4153 0.7468
4 Pm 0.2515 0.2515 0.2531
5 Pm 0.4153 0.0822 0.7468
6 Pm 0.5847 0.9178 0.2532
7 Pm 0.7485 0.7485 0.7469
8 Pm 0.9178 0.5847 0.2532
9 Pr 0.5000 0.5000 0.0000
10 Sm 0.0000 0.0000 0.5000
11 Sm 0.3335 0.6666 0.5000
12 Sm 0.6666 0.3335 0.5000

9.
Computed, not measured: crystalline LaPm2PrSm5 at its relaxed geometry at the PBE level of DFT.

Computed properties:
* symmetry: I4/mcm
* calculated volume: 34.85 Å³/atom

abc: 10.1337 10.1337 10.1337
angles: 128.02 128.02 76.59
Positions (direct):
1 La 0.2500 0.2500 0.0000
2 La 0.7500 0.7500 0.0000
3 Pm 0.1183 0.6183 0.7366
4 Pm 0.3817 0.1183 0.5000
5 Pm 0.6183 0.8817 0.5000
6 Pm 0.8817 0.3817 0.2634
7 Pr 0.2500 0.7500 0.5000
8 Pr 0.7500 0.2500 0.5000
9 Sm 0.0000 0.0000 0.0000
10 Sm 0.0693 0.1597 0.5000
11 Sm 0.1597 0.6597 0.0904
12 Sm 0.3403 0.4307 0.5000
13 Sm 0.4307 0.9307 0.0904
14 Sm 0.5000 0.5000 0.0000
15 Sm 0.5693 0.0693 0.9096
16 Sm 0.6597 0.5693 0.5000
17 Sm 0.8403 0.3403 0.9096
18 Sm 0.9307 0.8403 0.5000

10.
Computed, not measured: crystalline LaPmPr2Sm4 at its relaxed geometry at the PBE level of DFT.

Computed properties:
* symmetry: P2/m
* calculated volume: 34.94 Å³/atom

abc: 6.3488 3.6813 12.1582
angles: 90.00 100.36 90.00
Positions (direct):
1 La 0.0000 0.0000 0.0000
2 Pm 0.5000 0.5000 0.0000
3 Pr 0.0000 0.5000 0.5000
4 Pr 0.5000 0.0000 0.5000
5 Sm 0.2495 0.5000 0.2500
6 Sm 0.2509 0.0000 0.7507
7 Sm 0.7491 0.0000 0.2493
8 Sm 0.7505 0.5000 0.7500

11.
Computed, not measured: crystalline LaPm6Pr3Sm2 at its relaxed geometry at the PBE level of DFT.

Computed properties:
* symmetry: C2/m
* calculated volume: 35.11 Å³/atom

abc: 6.3687 6.3687 12.1824
angles: 95.03 95.03 120.00
Positions (direct):
1 La 0.0000 0.0000 0.0000
2 Pm 0.0831 0.4172 0.2490
3 Pm 0.2509 0.2509 0.7507
4 Pm 0.4172 0.0831 0.2490
5 Pm 0.5828 0.9169 0.7510
6 Pm 0.7491 0.7491 0.2493
7 Pm 0.9169 0.5828 0.7510
8 Pr 0.1670 0.8330 0.5000
9 Pr 0.5000 0.5000 0.5000
10 Pr 0.8330 0.1670 0.5000
11 Sm 0.3335 0.6665 0.0000
12 Sm 0.6665 0.3335 0.0000

12.
Computed, not measured: crystalline LaPm2Pr4Sm at its relaxed geometry at the PBE level of DFT.

Computed properties:
* symmetry: P2/m
* calculated volume: 35.70 Å³/atom

abc: 6.3844 3.7036 12.2751
angles: 90.00 100.30 90.00
Positions (direct):
1 La 0.0000 0.0000 0.0000
2 Pm 0.0000 0.5000 0.5000
3 Pm 0.5000 0.0000 0.5000
4 Pr 0.2492 0.0000 0.7494
5 Pr 0.2518 0.5000 0.2518
6 Pr 0.7482 0.5000 0.7482
7 Pr 0.7508 0.0000 0.2506
8 Sm 0.5000 0.5000 0.0000

Calculated formation energy, respectively: 227.4; 105.9; 108.7; 3.9; 250.0; 15.9; 14.4; 16.0; 243.4; 15.5; 14.7; 15.5 meV per atom.